Density functional theory data (PBE) for crystalline PRhS2Cl at its relaxed geometry.

```
PRhS2Cl
1.0
4.638 0.000 0.000
0.000 4.638 0.000
0.000 0.000 4.622
P Rh S Cl
1 1 2 1
Direct
0.000 0.000 0.000 P
0.500 0.500 0.500 Rh
0.000 0.500 0.500 S
0.500 0.000 0.500 S
0.500 0.500 0.000 Cl
```

Output
- Offset from the most stable computed form: 23 meV/atom
- Space-group type: P4/mmm, No. 123
- D(E_F): 3.62 states/eV/f.u.
- Energy: -19.6 eV for the cell shown

***

Density functional theory data (PBE) for crystalline CsPmS2O6 at its relaxed geometry.

```
CsPmS2O6
1.0
4.519 -5.146 0.000
4.519 5.146 0.000
-3.201 0.000 7.545
Cs Pm S O
2 2 4 12
Direct
0.151 0.849 0.750 Cs
0.849 0.151 0.250 Cs
0.442 0.558 0.250 Pm
0.558 0.442 0.750 Pm
0.099 0.342 0.793 S
0.342 0.099 0.293 S
0.658 0.901 0.707 S
0.901 0.658 0.207 S
0.082 0.549 0.239 O
0.179 0.315 0.630 O
0.292 0.507 0.934 O
0.315 0.179 0.130 O
0.451 0.918 0.261 O
0.493 0.708 0.566 O
0.507 0.292 0.434 O
0.549 0.082 0.739 O
0.685 0.821 0.870 O
0.708 0.493 0.066 O
0.821 0.685 0.370 O
0.918 0.451 0.761 O
```

Output
- Space-group type: C2/c, No. 15
- D(E_F): 0.00 states/eV/f.u.
- Energy: -127.4 eV for the cell shown

***

Density functional theory data (PBE) for crystalline TiCdS2 at its relaxed geometry.

```
TiCdS2
1.0
1.899 1.096 7.605
-1.899 1.096 7.605
0.000 -2.192 7.605
Ti Cd S
1 1 2
Direct
0.000 0.000 0.000 Ti
0.500 0.500 0.500 Cd
0.100 0.100 0.100 S
0.900 0.900 0.900 S
```

Output
- Space-group type: R-3m, No. 166
- D(E_F): 1.54 states/eV/f.u.
- Energy: -18.0 eV for the cell shown

***

Density functional theory data (PBE) for crystalline K2BiPCO7 at its relaxed geometry.

```
K2BiPCO7
1.0
5.928 0.000 0.000
0.000 7.202 0.000
-0.244 0.000 9.953
K Bi P C O
4 2 2 2 14
Direct
0.242 0.015 0.283 K
0.242 0.485 0.283 K
0.758 0.515 0.717 K
0.758 0.985 0.717 K
0.306 0.250 0.890 Bi
0.694 0.750 0.110 Bi
0.233 0.750 0.919 P
0.767 0.250 0.081 P
0.243 0.250 0.613 C
0.757 0.750 0.387 C
0.027 0.250 0.095 O
0.069 0.250 0.694 O
0.223 0.250 0.487 O
0.303 0.750 0.074 O
0.341 0.575 0.853 O
0.341 0.925 0.853 O
0.443 0.250 0.677 O
0.557 0.750 0.323 O
0.659 0.075 0.147 O
0.659 0.425 0.147 O
0.697 0.250 0.926 O
0.777 0.750 0.513 O
0.931 0.750 0.306 O
0.973 0.750 0.905 O
```

Output
- Space-group type: P2_1/m, No. 11
- D(E_F): 0.00 states/eV/f.u.
- Energy: -156.1 eV for the cell shown

***

Density functional theory data (PBE) for crystalline CePd5 at its relaxed geometry.

```
CePd5
1.0
5.322 0.000 0.000
-2.661 4.609 0.000
0.000 0.000 4.515
Ce Pd
1 5
Direct
0.000 0.000 0.000 Ce
0.000 0.500 0.500 Pd
0.333 0.667 0.000 Pd
0.500 0.000 0.500 Pd
0.500 0.500 0.500 Pd
0.667 0.333 0.000 Pd
```

Output
- Energy relative to the elements: -0.50 eV/atom
- Space-group type: P6/mmm, No. 191
- D(E_F): 9.47 states/eV/f.u.
- Energy: -34.9 eV for the cell shown

***

Density functional theory data (PBE) for crystalline MgNiRu2 at its relaxed geometry.

```
MgNiRu2
1.0
4.446 -1.373 0.000
4.446 1.373 0.000
-0.846 0.000 4.563
Mg Ni Ru
1 1 2
Direct
0.000 0.000 0.000 Mg
0.249 0.249 0.803 Ni
0.510 0.510 0.504 Ru
0.764 0.764 0.322 Ru
```

Output
- Energy relative to the elements: 0.08 eV/atom
- Space-group type: Cm, No. 8
- D(E_F): 4.32 states/eV/f.u.
- Energy: -25.6 eV for the cell shown

***

Density functional theory data (PBE) for crystalline Ni3AgMo at its relaxed geometry.

```
Ni3AgMo
1.0
4.487 0.000 0.000
0.000 4.487 0.000
0.000 0.000 4.487
Ni Ag Mo
3 1 1
Direct
0.000 0.000 0.500 Ni
0.000 0.500 0.000 Ni
0.500 0.000 0.000 Ni
0.500 0.500 0.500 Ag
0.000 0.000 0.000 Mo
```

Output
- Offset from the most stable computed form: 0 meV/atom
- Energy relative to the elements: 1.28 eV/atom
- Space-group type: Pm-3m, No. 221
- D(E_F): 5.28 states/eV/f.u.
- Energy: -24.6 eV for the cell shown

***

Density functional theory data (PBE) for crystalline BaBeZnOs2 at its relaxed geometry.

```
BaBeZnOs2
1.0
4.463 0.000 0.000
0.000 4.463 0.000
0.000 0.000 4.564
Ba Be Zn Os
1 1 1 2
Direct
0.000 0.000 0.000 Ba
0.500 0.500 0.500 Be
0.500 0.500 0.000 Zn
0.000 0.500 0.500 Os
0.500 0.000 0.500 Os
```

Output
- Energy relative to the elements: 0.82 eV/atom
- Space-group type: P4/mmm, No. 123
- D(E_F): 4.58 states/eV/f.u.
- Energy: -25.3 eV for the cell shown

***

Please write out number 6 again, unchanged.
Density functional theory data (PBE) for crystalline MgNiRu2 at its relaxed geometry.

```
MgNiRu2
1.0
4.446 -1.373 0.000
4.446 1.373 0.000
-0.846 0.000 4.563
Mg Ni Ru
1 1 2
Direct
0.000 0.000 0.000 Mg
0.249 0.249 0.803 Ni
0.510 0.510 0.504 Ru
0.764 0.764 0.322 Ru
```

Output
- Energy relative to the elements: 0.08 eV/atom
- Space-group type: Cm, No. 8
- D(E_F): 4.32 states/eV/f.u.
- Energy: -25.6 eV for the cell shown

***

Question: Which value of energy does entry 5 give?
Answer: -34.9 eV for the cell shown